(1)
The following is a DFT calculation (GGA-PBE) of a geometry-optimized Sm3Fe structure.

Computed properties:
- space group = P6_3/mmc
- energy of formation from the pure elements (eV/f.u.) = 1.2

Lattice parameters (Å, degrees): 6.9451 6.9451 5.1715 90.00 90.00 120.00
Last column: nearest neighbours and their distance in Å.
Positions (direct):
1 Sm 0.1777 0.8223 0.2500  4 Fe 3.19-3.48, 6 Sm 3.24-3.35
2 Sm 0.8223 0.6447 0.7500  4 Fe 3.19-3.48, 6 Sm 3.24-3.35
3 Sm 0.6447 0.8223 0.2500  4 Fe 3.19-3.48, 6 Sm 3.24-3.35
4 Fe 0.6667 0.3333 0.2500  12 Sm 3.19-3.48
5 Sm 0.3553 0.1777 0.7500  4 Fe 3.19-3.48, 6 Sm 3.24-3.35
6 Sm 0.1777 0.3553 0.2500  4 Fe 3.19-3.48, 6 Sm 3.24-3.35
7 Fe 0.3333 0.6667 0.7500  12 Sm 3.19-3.48
8 Sm 0.8223 0.1777 0.7500  4 Fe 3.19-3.48, 6 Sm 3.24-3.35

=====

(2)
The following is a DFT calculation (GGA-PBE) of a geometry-optimized SmFe3 structure.

Computed properties:
- space group = Fm-3m
- energy of formation from the pure elements (eV/f.u.) = 1.4

Lattice parameters (Å, degrees): 4.4276 4.4276 4.4276 60.00 60.00 60.00
Last column: nearest neighbours and their distance in Å.
Positions (direct):
1 Fe 0.2500 0.2500 0.2500  8 Fe 2.71
2 Sm 0.7500 0.7500 0.7500  8 Fe 2.71
3 Fe 0.0000 0.0000 0.0000  4 Sm 2.71, 4 Fe 2.71
4 Fe 0.5000 0.5000 0.5000  4 Fe 2.71, 4 Sm 2.71

=====

(3)
The following is a DFT calculation (GGA-PBE) of a geometry-optimized SmFe structure.

Computed properties:
- space group = F-43m
- energy of formation from the pure elements (eV/f.u.) = 2.8

Lattice parameters (Å, degrees): 4.3149 4.3149 4.3149 60.00 60.00 60.00
Last column: nearest neighbours and their distance in Å.
Positions (direct):
1 Sm 0.2500 0.2500 0.2500  4 Fe 2.64
2 Fe 0.0000 0.0000 0.0000  4 Sm 2.64

=====

(4)
The following is a DFT calculation (GGA-PBE) of a geometry-optimized SmFe3 structure.

Computed properties:
- space group = P6_3/mmc
- energy of formation from the pure elements (eV/f.u.) = 0.8

Lattice parameters (Å, degrees): 5.9688 5.9688 4.2921 90.00 90.00 120.00
Last column: nearest neighbours and their distance in Å.
Positions (direct):
1 Fe 0.1333 0.8667 0.2500  6 Fe 2.39-2.55
2 Sm 0.3333 0.6667 0.7500  12 Fe 2.98-3.00
3 Fe 0.2666 0.1333 0.7500  6 Fe 2.39-2.55
4 Fe 0.1333 0.2666 0.2500  6 Fe 2.39-2.55
5 Fe 0.7334 0.8667 0.2500  6 Fe 2.39-2.55
6 Sm 0.6667 0.3333 0.2500  12 Fe 2.98-3.00
7 Fe 0.8667 0.7334 0.7500  6 Fe 2.39-2.55
8 Fe 0.8667 0.1333 0.7500  6 Fe 2.39-2.55

=====

(5)
The following is a DFT calculation (GGA-PBE) of a geometry-optimized Sm2FeSn6 structure.

Computed properties:
- space group = Cmmm

Lattice parameters (Å, degrees): 11.8077 11.8077 4.4905 90.00 90.00 158.46
Last column: nearest neighbours and their distance in Å.
Positions (direct):
1 Sm 0.6761 0.3239 0.5000  10 Sn 3.23-3.53
2 Fe 0.0000 0.0000 0.0000  8 Sn 2.72-2.74
3 Sn 0.7937 0.2063 0.0000  2 Sn 3.00, 4 Sm 3.23
4 Sn 0.0679 0.9321 0.5000  2 Fe 2.74
5 Sn 0.5686 0.4314 0.0000  2 Fe 2.72
6 Sn 0.9321 0.0679 0.5000  2 Fe 2.74
7 Sm 0.3239 0.6761 0.5000  10 Sn 3.23-3.53
8 Sn 0.2063 0.7937 0.0000  2 Sn 3.00, 4 Sm 3.23
9 Sn 0.4314 0.5686 0.0000  2 Fe 2.72

=====

(6)
The following is a DFT calculation (GGA-PBE) of a geometry-optimized SmTa3Fe4 structure.

Computed properties:
- space group = C2/m
- energy of formation from the pure elements (eV/f.u.) = 2.6

Lattice parameters (Å, degrees): 8.2052 8.2052 2.8625 99.93 99.93 41.80
Last column: nearest neighbours and their distance in Å.
Positions (direct):
1 Ta 0.2265 0.2265 0.7255  6 Fe 2.46-2.67
2 Fe 0.8353 0.4261 0.1302  1 Fe 2.40, 3 Ta 2.46-2.67, 1 Sm 2.62
3 Sm 0.0000 0.0000 0.0000  4 Fe 2.62, 2 Sm 2.86
4 Ta 0.5000 0.5000 0.5000  8 Fe 2.71, 2 Ta 2.86
5 Fe 0.4261 0.8353 0.1302  1 Fe 2.40, 3 Ta 2.46-2.67, 1 Sm 2.62
6 Fe 0.1647 0.5739 0.8698  1 Fe 2.40, 3 Ta 2.46-2.67, 1 Sm 2.62
7 Fe 0.5739 0.1647 0.8698  1 Fe 2.40, 3 Ta 2.46-2.67, 1 Sm 2.62
8 Ta 0.7735 0.7735 0.2745  6 Fe 2.46-2.67

=====

(7)
The following is a DFT calculation (GGA-PBE) of a geometry-optimized SmTaFe structure.

Computed properties:
- space group = F-43m
- energy of formation from the pure elements (eV/f.u.) = 1.6

Lattice parameters (Å, degrees): 4.4569 4.4569 4.4569 60.00 60.00 60.00
Last column: nearest neighbours and their distance in Å.
Positions (direct):
1 Ta 0.7500 0.7500 0.7500  4 Fe 2.73
2 Sm 0.2500 0.2500 0.2500  4 Fe 2.73
3 Fe 0.0000 0.0000 0.0000  4 Ta 2.73, 4 Sm 2.73

=====

(8)
The following is a DFT calculation (GGA-PBE) of a geometry-optimized SmTaFe structure.

Computed properties:
- space group = F-43m
- energy of formation from the pure elements (eV/f.u.) = 5.0

Lattice parameters (Å, degrees): 4.5288 4.5288 4.5288 60.00 60.00 60.00
Last column: nearest neighbours and their distance in Å.
Positions (direct):
1 Sm 0.0000 0.0000 0.0000  4 Ta 2.77, 4 Fe 2.77
2 Fe 0.2500 0.2500 0.2500  4 Sm 2.77
3 Ta 0.7500 0.7500 0.7500  4 Sm 2.77

=====

(9)
The following is a DFT calculation (GGA-PBE) of a geometry-optimized TbSmFe structure.

Computed properties:
- space group = F-43m
- energy of formation from the pure elements (eV/f.u.) = 0.7

Lattice parameters (Å, degrees): 4.7169 4.7169 4.7169 60.00 60.00 60.00
Last column: nearest neighbours and their distance in Å.
Positions (direct):
1 Fe 0.0000 0.0000 0.0000  4 Tb 2.89, 4 Sm 2.89
2 Tb 0.7500 0.7500 0.7500  4 Fe 2.89
3 Sm 0.2500 0.2500 0.2500  4 Fe 2.89

=====

(10)
The following is a DFT calculation (GGA-PBE) of a geometry-optimized SmFeTc structure.

Computed properties:
- space group = F-43m
- energy of formation from the pure elements (eV/f.u.) = 4.1

Lattice parameters (Å, degrees): 4.5029 4.5029 4.5029 60.00 60.00 60.00
Last column: nearest neighbours and their distance in Å.
Positions (direct):
1 Sm 0.0000 0.0000 0.0000  4 Tc 2.76, 4 Fe 2.76
2 Fe 0.2500 0.2500 0.2500  4 Sm 2.76
3 Tc 0.7500 0.7500 0.7500  4 Sm 2.76

=====

(11)
The following is a DFT calculation (GGA-PBE) of a geometry-optimized SmFeTc structure.

Computed properties:
- space group = F-43m
- energy of formation from the pure elements (eV/f.u.) = 1.8

Lattice parameters (Å, degrees): 4.3710 4.3710 4.3710 60.00 60.00 60.00
Last column: nearest neighbours and their distance in Å.
Positions (direct):
1 Fe 0.0000 0.0000 0.0000  4 Tc 2.68, 4 Sm 2.68
2 Tc 0.7500 0.7500 0.7500  4 Fe 2.68
3 Sm 0.2500 0.2500 0.2500  4 Fe 2.68

=====

(12)
The following is a DFT calculation (GGA-PBE) of a geometry-optimized SmThFe structure.

Computed properties:
- space group = F-43m
- energy of formation from the pure elements (eV/f.u.) = 0.5

Lattice parameters (Å, degrees): 4.7770 4.7770 4.7770 60.00 60.00 60.00
Last column: nearest neighbours and their distance in Å.
Positions (direct):
1 Fe 0.0000 0.0000 0.0000  4 Th 2.93, 4 Sm 2.93
2 Sm 0.2500 0.2500 0.2500  4 Fe 2.93
3 Th 0.7500 0.7500 0.7500  4 Fe 2.93

=====

Record order is preserved below.
Mass density: 7.8 8.6 6.0 8.0 7.7 12.1 10.3 9.8 8.2 7.8 8.6 9.4 g cm⁻³
Record order is preserved below.
Raw total energy: -5.308 -7.053 -5.117 -7.218 -5.030 -8.865 -7.753 -6.631 -5.651 -6.420 -7.177 -6.631 eV per atom